No. 1
This record from Alexandria describes a PBEsol-optimized structure of Zr2PbSe. The functional is SCAN.

Cell lengths 4.9025, 4.9025, 4.9025 Å; angles 60.00, 60.00, 60.00 degrees
Element x y z (fractional)
Pb: 0.5000 0.5000 0.5000
Zr: 0.7500 0.7500 0.7500
Zr: 0.2500 0.2500 0.2500
Se: 0.0000 0.0000 0.0000

Calculated values
For the density of states at the Fermi level, the calculation gives 5.56 states/eV per cell. The space group is No. 225. The raw formation energy is -0.5448 eV per atom. The relative energy among the computed polymorphs is 23.1 kJ per mole of atoms.

=====

No. 2
This record from Alexandria describes a PBEsol-optimized structure of LiAgF4. The functional is SCAN.

Cell lengths 5.2874, 5.2874, 6.2377 Å; angles 115.08, 115.08, 90.00 degrees
Element x y z (fractional)
Li: 0.7500 0.7500 0.5000
Li: 0.2500 0.2500 0.5000
F: 0.9483 0.4483 0.2683
F: 0.1799 0.0517 0.7317
F: 0.3201 0.8201 0.2683
F: 0.4483 0.3201 0.2683
F: 0.8201 0.9483 0.2683
F: 0.6799 0.1799 0.7317
F: 0.0517 0.5517 0.7317
F: 0.5517 0.6799 0.7317
Ag: 0.5000 0.0000 0.0000
Ag: 0.0000 0.5000 0.0000

Calculated values
For the density of states at the Fermi level, the calculation gives 0.00 states/eV per cell. The space group is No. 140. The raw formation energy is -1.8208 eV per atom. The relative energy among the computed polymorphs is 3.1 kJ per mole of atoms.